1.
{
  "formula": "Sr2MgReN6",
  "functional": "PBE-GGA",
  "state": "relaxed",
  "magmom_total_mub_per_cell": 8.48,
  "final_energy_ev_per_atom": -6.64,
  "lattice_angstrom": [[5.704, 0.000, 0.000], [-0.005, 5.724, 0.000], [-0.005, -0.009, 8.096]],
  "species": ["Mg", "Mg", "N", "N", "N", "N", "N", "N", "N", "N", "N", "N", "N", "N", "Re", "Re", "Sr", "Sr", "Sr", "Sr"],
  "frac_coords": [[0.450, 0.550, 0.000], [0.950, 0.050, 0.500], [0.190, 0.806, 0.001], [0.195, 0.290, 0.001], [0.949, 0.050, 0.242], [0.451, 0.550, 0.258], [0.202, 0.313, 0.499], [0.213, 0.796, 0.500], [0.687, 0.302, 0.500], [0.698, 0.786, 0.501], [0.449, 0.549, 0.742], [0.951, 0.050, 0.758], [0.705, 0.811, 0.999], [0.711, 0.295, 0.000], [0.950, 0.050, 0.000], [0.450, 0.550, 0.500], [0.450, 0.050, 0.250], [0.950, 0.550, 0.250], [0.450, 0.050, 0.750], [0.950, 0.550, 0.750]]
}



2.
{
  "formula": "KNbAl",
  "functional": "PBE-GGA",
  "state": "relaxed",
  "magmom_total_mub_per_cell": 4.31,
  "e_above_lowest_polymorph_ev_per_atom": 0.641,
  "lattice_angstrom": [[0.000, 3.687, 3.687], [3.687, 0.000, 3.687], [3.687, 3.687, 0.000]],
  "species": ["Al", "K", "Nb"],
  "frac_coords": [[0.250, 0.250, 0.250], [0.000, 0.000, 0.000], [0.750, 0.750, 0.750]]
}



3.
{
  "formula": "NpNbGa",
  "functional": "PBE-GGA",
  "state": "relaxed",
  "magmom_total_mub_per_cell": 2.97,
  "e_above_lowest_polymorph_ev_per_atom": 0.000,
  "lattice_angstrom": [[0.000, 3.187, 3.187], [3.187, 0.000, 3.187], [3.187, 3.187, 0.000]],
  "species": ["Ga", "Nb", "Np"],
  "frac_coords": [[0.250, 0.250, 0.250], [0.000, 0.000, 0.000], [0.750, 0.750, 0.750]]
}



4.
{
  "formula": "Ni2Sb",
  "functional": "PBE-GGA",
  "state": "relaxed",
  "magmom_total_mub_per_cell": 0.01,
  "final_energy_ev_per_atom": -5.11,
  "lattice_angstrom": [[0.000, 2.905, 2.905], [2.905, 0.000, 2.905], [2.905, 2.905, 0.000]],
  "species": ["Ni", "Ni", "Sb"],
  "frac_coords": [[0.250, 0.250, 0.250], [0.750, 0.750, 0.750], [0.000, 0.000, 0.000]]
}



5.
{
  "formula": "Si2Au3",
  "functional": "PBE-GGA",
  "state": "relaxed",
  "final_energy_ev_per_atom": -4.01,
  "lattice_angstrom": [[-2.922, -1.042, -2.900], [1.866, -3.030, 2.318], [-4.243, 0.516, 4.090]],
  "species": ["Au", "Au", "Au", "Si", "Si"],
  "frac_coords": [[0.000, 0.000, 0.000], [0.667, 0.333, 0.336], [0.333, 0.667, 0.664], [0.333, 0.667, 0.223], [0.667, 0.333, 0.777]]
}



6.
{
  "formula": "AgPt3S5",
  "functional": "PBE-GGA",
  "state": "relaxed",
  "magmom_total_mub_per_cell": 0.03,
  "final_energy_ev_per_atom": -4.51,
  "lattice_angstrom": [[-4.080, 2.463, -3.936], [-1.972, -3.407, 4.765], [-0.311, 5.056, 3.486]],
  "species": ["Ag", "Pt", "Pt", "Pt", "S", "S", "S", "S", "S"],
  "frac_coords": [[0.000, 0.000, 0.000], [0.500, 0.000, 0.500], [0.000, 0.500, 0.500], [0.500, 0.500, 0.500], [0.667, 0.333, 0.251], [0.333, 0.667, 0.251], [0.000, 0.000, 0.500], [0.667, 0.333, 0.749], [0.333, 0.667, 0.749]]
}



7.
{
  "formula": "KZr3Sb5",
  "functional": "PBE-GGA",
  "state": "relaxed",
  "magmom_total_mub_per_cell": 0.00,
  "final_energy_ev_per_atom": -5.65,
  "lattice_angstrom": [[6.034, 0.000, 0.000], [-3.017, 5.226, 0.000], [0.000, 0.000, 9.023]],
  "species": ["K", "Sb", "Sb", "Sb", "Sb", "Sb", "Zr", "Zr", "Zr"],
  "frac_coords": [[0.000, 0.000, 0.000], [0.667, 0.333, 0.225], [0.333, 0.667, 0.225], [0.000, 0.000, 0.500], [0.667, 0.333, 0.775], [0.333, 0.667, 0.775], [0.500, 0.000, 0.500], [0.000, 0.500, 0.500], [0.500, 0.500, 0.500]]
}



8.
{
  "formula": "LiBe2Tc",
  "functional": "PBE-GGA",
  "state": "relaxed",
  "magmom_total_mub_per_cell": 0.01,
  "final_energy_ev_per_atom": -4.71,
  "lattice_angstrom": [[0.419, -2.526, 2.891], [-1.832, 0.577, 3.350], [-2.944, -2.286, 1.009]],
  "species": ["Be", "Be", "Li", "Tc"],
  "frac_coords": [[0.000, 0.000, 0.000], [0.750, 0.750, 0.750], [0.500, 0.500, 0.500], [0.250, 0.250, 0.250]]
}



9.
{
  "formula": "RbZrAsO",
  "functional": "PBE-GGA",
  "state": "relaxed",
  "magmom_total_mub_per_cell": 0.00,
  "e_above_lowest_polymorph_ev_per_atom": 0.156,
  "lattice_angstrom": [[3.590, 0.000, 0.000], [0.000, 7.527, 0.000], [0.000, 0.000, 8.069]],
  "species": ["As", "As", "O", "O", "Rb", "Rb", "Zr", "Zr"],
  "frac_coords": [[0.000, 0.461, 0.265], [0.000, 0.539, 0.765], [0.500, 0.836, 0.456], [0.500, 0.164, 0.956], [0.500, 0.792, 0.047], [0.500, 0.208, 0.547], [0.000, 0.705, 0.486], [0.000, 0.295, 0.986]]
}



10.
{
  "formula": "YPuW",
  "functional": "PBE-GGA",
  "state": "relaxed",
  "formation_energy_mev_per_atom": 1337,
  "magmom_total_mub_per_cell": 5.39,
  "e_above_lowest_polymorph_ev_per_atom": 0.000,
  "lattice_angstrom": [[4.059, -0.035, 2.240], [0.273, 1.636, 4.329], [0.667, -2.915, 3.542]],
  "species": ["Pu", "W", "Y"],
  "frac_coords": [[0.000, 0.000, 0.000], [0.250, 0.250, 0.250], [0.750, 0.750, 0.750]]
}



11.
{
  "formula": "HfZnRe",
  "functional": "PBE-GGA",
  "state": "relaxed",
  "formation_energy_mev_per_atom": 577,
  "magmom_total_mub_per_cell": 0.57,
  "e_above_lowest_polymorph_ev_per_atom": 0.000,
  "lattice_angstrom": [[0.000, 3.109, 3.109], [3.109, 0.000, 3.109], [3.109, 3.109, 0.000]],
  "species": ["Hf", "Re", "Zn"],
  "frac_coords": [[0.250, 0.250, 0.250], [0.000, 0.000, 0.000], [0.750, 0.750, 0.750]]
}



12.
{
  "formula": "KTaCo",
  "functional": "PBE-GGA",
  "state": "relaxed",
  "magmom_total_mub_per_cell": 0.01,
  "e_above_lowest_polymorph_ev_per_atom": 0.000,
  "lattice_angstrom": [[0.000, 3.167, 3.167], [3.167, 0.000, 3.167], [3.167, 3.167, 0.000]],
  "species": ["Co", "K", "Ta"],
  "frac_coords": [[0.000, 0.000, 0.000], [0.250, 0.250, 0.250], [0.750, 0.750, 0.750]]
}



13.
{
  "formula": "CsNaTcS3",
  "functional": "PBE-GGA",
  "state": "relaxed",
  "magmom_total_mub_per_cell": 5.74,
  "final_energy_ev_per_atom": -4.77,
  "lattice_angstrom": [[-7.840, 1.668, 3.195], [0.261, -3.073, 2.245], [7.422, 4.490, 5.282]],
  "species": ["Cs", "Cs", "Na", "Na", "S", "S", "S", "S", "S", "S", "Tc", "Tc"],
  "frac_coords": [[0.740, 0.750, 0.231], [0.260, 0.250, 0.769], [0.054, 0.250, 0.113], [0.946, 0.750, 0.887], [0.265, 0.750, 0.106], [0.525, 0.250, 0.380], [0.155, 0.250, 0.386], [0.845, 0.750, 0.614], [0.475, 0.750, 0.620], [0.735, 0.250, 0.894], [0.331, 0.750, 0.360], [0.669, 0.250, 0.640]]
}



14.
{
  "formula": "RbLa2CuSe4",
  "functional": "PBE-GGA",
  "state": "relaxed",
  "magmom_total_mub_per_cell": 0.00,
  "final_energy_ev_per_atom": -5.16,
  "lattice_angstrom": [[-6.229, -2.698, -3.723], [4.245, 0.029, 6.474], [-8.010, 11.315, 5.202]],
  "species": ["Cu", "Cu", "La", "La", "La", "La", "Rb", "Rb", "Se", "Se", "Se", "Se", "Se", "Se", "Se", "Se"],
  "frac_coords": [[0.162, 0.838, 0.250], [0.838, 0.162, 0.750], [0.635, 0.365, 0.062], [0.635, 0.365, 0.438], [0.365, 0.635, 0.562], [0.365, 0.635, 0.938], [0.893, 0.107, 0.250], [0.107, 0.893, 0.750], [0.000, 0.000, 0.000], [0.262, 0.738, 0.115], [0.572, 0.428, 0.250], [0.262, 0.738, 0.385], [0.000, 0.000, 0.500], [0.738, 0.262, 0.615], [0.428, 0.572, 0.750], [0.738, 0.262, 0.885]]
}



15.
{
  "formula": "Zr",
  "functional": "PBE-GGA",
  "state": "relaxed",
  "formation_energy_mev_per_atom": 91,
  "magmom_total_mub_per_cell": 0.00,
  "e_above_lowest_polymorph_ev_per_atom": 0.091,
  "lattice_angstrom": [[7.759, 0.000, 0.000], [0.000, 7.759, 0.000], [0.000, 0.000, 7.759]],
  "species": ["Zr", "Zr", "Zr", "Zr", "Zr", "Zr", "Zr", "Zr", "Zr", "Zr", "Zr", "Zr", "Zr", "Zr", "Zr", "Zr", "Zr", "Zr", "Zr", "Zr"],
  "frac_coords": [[0.875, 0.708, 0.042], [0.078, 0.078, 0.078], [0.208, 0.458, 0.125], [0.828, 0.328, 0.172], [0.458, 0.125, 0.208], [0.542, 0.625, 0.292], [0.172, 0.828, 0.328], [0.792, 0.958, 0.375], [0.922, 0.578, 0.422], [0.125, 0.208, 0.458], [0.625, 0.292, 0.542], [0.422, 0.922, 0.578], [0.292, 0.542, 0.625], [0.672, 0.672, 0.672], [0.042, 0.875, 0.708], [0.958, 0.375, 0.792], [0.328, 0.172, 0.828], [0.708, 0.042, 0.875], [0.578, 0.422, 0.922], [0.375, 0.792, 0.958]]
}



16.
{
  "formula": "Sc2Pb3W4C3",
  "functional": "PBE-GGA",
  "state": "relaxed",
  "magmom_total_mub_per_cell": 0.01,
  "final_energy_ev_per_atom": -8.61,
  "lattice_angstrom": [[-4.457, 3.426, -1.191], [-4.551, 0.068, 3.508], [2.921, 11.280, 8.118]],
  "species": ["C", "C", "C", "C", "C", "C", "Pb", "Pb", "Pb", "Pb", "Pb", "Pb", "Sc", "Sc", "Sc", "Sc", "W", "W", "W", "W", "W", "W", "W", "W"],
  "frac_coords": [[0.000, 0.500, 0.000], [0.670, 0.159, 0.000], [0.841, 0.330, 0.500], [0.500, 0.000, 0.500], [0.159, 0.670, 0.500], [0.330, 0.841, 0.000], [0.583, 0.770, 0.250], [0.934, 0.066, 0.250], [0.230, 0.417, 0.250], [0.770, 0.583, 0.750], [0.066, 0.934, 0.750], [0.417, 0.230, 0.750], [0.630, 0.471, 0.089], [0.529, 0.370, 0.411], [0.471, 0.630, 0.589], [0.370, 0.529, 0.911], [0.310, 0.152, 0.070], [0.986, 0.803, 0.070], [0.197, 0.014, 0.430], [0.848, 0.690, 0.430], [0.152, 0.310, 0.570], [0.803, 0.986, 0.570], [0.014, 0.197, 0.930], [0.690, 0.848, 0.930]]
}



17.
{
  "formula": "AgSnBi",
  "functional": "PBE-GGA",
  "state": "relaxed",
  "e_above_lowest_polymorph_ev_per_atom": 0.000,
  "lattice_angstrom": [[0.000, 3.474, 3.474], [3.474, 0.000, 3.474], [3.474, 3.474, 0.000]],
  "species": ["Ag", "Bi", "Sn"],
  "frac_coords": [[0.000, 0.000, 0.000], [0.250, 0.250, 0.250], [0.750, 0.750, 0.750]]
}



18.
{
  "formula": "KHoAl",
  "functional": "PBE-GGA",
  "state": "relaxed",
  "magmom_total_mub_per_cell": 0.80,
  "e_above_lowest_polymorph_ev_per_atom": 0.000,
  "lattice_angstrom": [[2.642, 1.525, 4.314], [-2.642, 1.525, 4.314], [0.000, -3.051, 4.314]],
  "species": ["Al", "Ho", "K"],
  "frac_coords": [[0.750, 0.750, 0.750], [0.000, 0.000, 0.000], [0.250, 0.250, 0.250]]
}



19.
{
  "formula": "Sr2SnIr",
  "functional": "PBE-GGA",
  "state": "relaxed",
  "magmom_total_mub_per_cell": 0.01,
  "final_energy_ev_per_atom": -4.16,
  "lattice_angstrom": [[4.428, -2.481, 1.110], [0.481, -5.061, -1.071], [3.138, -1.556, -3.837]],
  "species": ["Ir", "Sn", "Sr", "Sr"],
  "frac_coords": [[0.500, 0.500, 0.500], [0.750, 0.750, 0.750], [0.000, 0.000, 0.000], [0.250, 0.250, 0.250]]
}



20.
{
  "formula": "La2PrS3",
  "functional": "PBE-GGA",
  "state": "relaxed",
  "magmom_total_mub_per_cell": 0.01,
  "final_energy_ev_per_atom": -6.63,
  "lattice_angstrom": [[4.137, 0.000, 0.000], [-2.069, 3.583, 0.000], [0.000, 0.000, 10.120]],
  "species": ["La", "La", "Pr", "S", "S", "S"],
  "frac_coords": [[0.667, 0.333, 0.332], [0.333, 0.667, 0.668], [0.000, 0.000, 0.000], [0.333, 0.667, 0.164], [0.000, 0.000, 0.500], [0.667, 0.333, 0.836]]
}